# CuRuW2 PBE optimized geometry
# **SG**: Pmmm
data_CuRuW2
_chemical_formula_sum 'Cu1 Ru1 W2'
_cell_length_a 2.7696
_cell_length_b 3.9173
_cell_length_c 5.3932
_cell_angle_alpha 90.00
_cell_angle_beta 90.00
_cell_angle_gamma 90.00
_symmetry_space_group_name_H-M 'P 1'
_symmetry_Int_Tables_number 1
loop_
_symmetry_equiv_pos_as_xyz
'x,y,z'
loop_
_atom_site_label
_atom_site_fract_x
_atom_site_fract_y
_atom_site_fract_z
Cu1 0.0000 0.0000 0.0000
Ru1 0.0000 0.0000 0.5000
W1 0.5000 0.5000 0.2534
W2 0.5000 0.5000 0.7466

# CuRuW3 PBE optimized geometry
# **SG**: Pm-3m
data_CuRuW3
_chemical_formula_sum 'Cu1 Ru1 W3'
_cell_length_a 4.6811
_cell_length_b 4.6811
_cell_length_c 4.6811
_cell_angle_alpha 90.00
_cell_angle_beta 90.00
_cell_angle_gamma 90.00
_symmetry_space_group_name_H-M 'P 1'
_symmetry_Int_Tables_number 1
loop_
_symmetry_equiv_pos_as_xyz
'x,y,z'
loop_
_atom_site_label
_atom_site_fract_x
_atom_site_fract_y
_atom_site_fract_z
Cu1 0.0000 0.0000 0.0000
Ru1 0.5000 0.5000 0.5000
W1 0.0000 0.5000 0.5000
W2 0.5000 0.0000 0.5000
W3 0.5000 0.5000 0.0000

# Cu2RuW PBE optimized geometry
# **SG**: Pm
data_Cu2RuW
_chemical_formula_sum 'Cu2 Ru1 W1'
_cell_length_a 2.6727
_cell_length_b 4.1267
_cell_length_c 5.0617
_cell_angle_alpha 90.00
_cell_angle_beta 99.96
_cell_angle_gamma 90.00
_symmetry_space_group_name_H-M 'P 1'
_symmetry_Int_Tables_number 1
loop_
_symmetry_equiv_pos_as_xyz
'x,y,z'
loop_
_atom_site_label
_atom_site_fract_x
_atom_site_fract_y
_atom_site_fract_z
Cu1 0.0000 0.0000 0.0000
Cu2 0.0777 0.5000 0.2372
Ru1 0.6552 0.0000 0.4896
W1 0.4218 0.5000 0.7470

# Cu2RuW PBE optimized geometry
# **SG**: Cm
data_Cu2RuW
_chemical_formula_sum 'Cu2 Ru1 W1'
_cell_length_a 4.5946
_cell_length_b 4.5946
_cell_length_c 4.6436
_cell_angle_alpha 99.47
_cell_angle_beta 99.47
_cell_angle_gamma 34.59
_symmetry_space_group_name_H-M 'P 1'
_symmetry_Int_Tables_number 1
loop_
_symmetry_equiv_pos_as_xyz
'x,y,z'
loop_
_atom_site_label
_atom_site_fract_x
_atom_site_fract_y
_atom_site_fract_z
Cu1 0.0000 0.0000 0.0000
Cu2 0.7454 0.7454 0.2076
Ru1 0.2536 0.2536 0.7140
W1 0.4969 0.4969 0.4929

| no. | E_form (eV/atom) | Fermi-level density of states (states/eV per cell) | ΔE to the lowest computed polymorph (meV/atom) |
| --- | --- | --- | --- |
| 1 | 0.172 | 2.6 | 0 |
| 2 | 2.078 | 5.0 | 142 |
| 3 | 0.244 | 3.7 | 75 |
| 4 | 0.247 | 3.8 | 78 |